Below is a relaxed structure of RhSeI2O, with properties calculated at the GGA-PBE level.

Computed properties:
Energy relative to the elements, uncorrected   0.83 eV per atom
Excess energy over the best structure of this formula in the dataset   324 kJ/mol of formula units
SG   P4/mmm
Total DFT energy (no corrections)   -2.947 eV/atom

The structure in CIF format:
```
data_RhSeI2O
_cell_length_a 5.503
_cell_length_b 4.614
_cell_length_c 5.503
_cell_angle_alpha 90.00
_cell_angle_beta 90.00
_cell_angle_gamma 90.00
_symmetry_space_group_name_H-M 'P 1'
_symmetry_Int_Tables_number 1
loop_
_symmetry_equiv_pos_as_xyz
'x,y,z'
loop_
_atom_site_label
_atom_site_type_symbol
_atom_site_fract_x
_atom_site_fract_y
_atom_site_fract_z
Rh1 Rh 0.000 0.000 0.000
Se1 Se 0.000 0.500 0.000
I1 I 0.500 0.000 0.000
I2 I 0.000 0.000 0.500
O1 O 0.500 0.500 0.500
```

***

Below is a relaxed structure of Ba2LaGeBr, with properties calculated at the GGA-PBE level.

Computed properties:
Energy relative to the elements, uncorrected   0.12 eV per atom
SG   P4/mmm
Total DFT energy (no corrections)   -2.897 eV/atom

The structure in CIF format:
```
data_Ba2LaGeBr
_cell_length_a 6.447
_cell_length_b 5.492
_cell_length_c 6.447
_cell_angle_alpha 90.00
_cell_angle_beta 90.00
_cell_angle_gamma 90.00
_symmetry_space_group_name_H-M 'P 1'
_symmetry_Int_Tables_number 1
loop_
_symmetry_equiv_pos_as_xyz
'x,y,z'
loop_
_atom_site_label
_atom_site_type_symbol
_atom_site_fract_x
_atom_site_fract_y
_atom_site_fract_z
Ba1 Ba 0.000 0.000 0.500
Br1 Br 0.000 0.500 0.000
Ba2 Ba 0.500 0.000 0.000
La1 La 0.500 0.500 0.500
Ge1 Ge 0.000 0.000 0.000
```

***

Below is a relaxed structure of Na2AlGe, with properties calculated at the GGA-PBE level.

Computed properties:
Excess energy over the best structure of this formula in the dataset   128 kJ/mol of formula units
SG   I-42d
Calculated formation energy   1.2 eV/f.u.
Total DFT energy (no corrections)   -2.459 eV/atom

The structure in CIF format:
```
data_Na2AlGe
_cell_length_a 8.651
_cell_length_b 8.651
_cell_length_c 6.679
_cell_angle_alpha 49.64
_cell_angle_beta 49.64
_cell_angle_gamma 90.00
_symmetry_space_group_name_H-M 'P 1'
_symmetry_Int_Tables_number 1
loop_
_symmetry_equiv_pos_as_xyz
'x,y,z'
loop_
_atom_site_label
_atom_site_type_symbol
_atom_site_fract_x
_atom_site_fract_y
_atom_site_fract_z
Ge1 Ge 0.000 0.000 0.000
Al1 Al 0.500 0.500 0.000
Na1 Na 0.657 0.125 0.250
Na2 Na 0.093 0.625 0.250
Ge2 Ge 0.750 0.250 0.500
Na3 Na 0.875 0.907 0.750
Na4 Na 0.375 0.343 0.750
Al2 Al 0.250 0.750 0.500
```

***

Which of these has the highest total DFT energy (no corrections)?
Na2AlGe

***

Which formula does entry 3 have?
Na2AlGe